A geometry-optimized TaSiAs2 structure, computed with GGA-PBE.

The volume is 17.10 Å³ per atom. The calculation puts the electronic total energy at -0.48095 Ry/atom.

Cell: 3.3624 3.3620 6.0520 Å, 90.00 90.00 90.00°
Fractional positions:
1 Ta 0.5000 0.5000 0.7500
2 As 0.0000 0.0000 0.5204
3 As 0.0000 0.0000 0.9796
4 Si 0.5000 0.5000 0.2500